Here is a relaxed CoIr2F crystal from the Alexandria database. Energies are from GGA+U.

The value obtained for the polymorph energy (0 for the lowest one) is 0.0 meV per atom.

It has space group Fm-3m (No. 225), with a = 5.951 Å, b = 5.951 Å, c = 5.951 Å, α = 90.00°, β = 90.00° and γ = 90.00°. The distinct sites, in fractional coordinates, are Co at (0.000, 0.000, 0.000), Ir at (0.250, 0.250, 0.250) and F at (0.000, 0.000, 0.500).